First-principles (GGA+U) data for crystalline NpFe2F8 at its relaxed geometry, as listed in the Alexandria database.

- Total DFT energy (no corrections): -140.0 eV for the cell shown
- Calculated volume: 301 Å³/cell

Cell: 10.5402 5.5788 5.3665 Å, 90.00 107.62 90.00°
Space group C2/m (No. 12)
One atom of each set of equivalent atoms:
1 Np 0.0000 0.0000 0.0000 (multiplicity 2)
2 Fe 0.1593 0.5000 0.5258 (multiplicity 4)
3 F 0.0379 0.5000 0.7500 (multiplicity 4)
4 F 0.1000 0.0000 0.7256 (multiplicity 4)
5 F 0.1742 0.2239 0.2597 (multiplicity 8)